The following is a DFT calculation (PBE) of an optimized crystal structure of Li2Pm3Ga.

CIF file:
```
data_Li2Pm3Ga
_chemical_formula_sum 'Li4 Pm6 Ga2'
_cell_length_a 5.269
_cell_length_b 5.269
_cell_length_c 12.920
_cell_angle_alpha 90.00
_cell_angle_beta 90.00
_cell_angle_gamma 120.00
_symmetry_space_group_name_H-M 'P 1'
_symmetry_Int_Tables_number 1
loop_
_symmetry_equiv_pos_as_xyz
'x,y,z'
loop_
_atom_site_label
_atom_site_fract_x
_atom_site_fract_y
_atom_site_fract_z
Li1 0.000 0.000 0.000
Li2 0.000 0.000 0.500
Li3 0.333 0.667 0.167
Li4 0.667 0.333 0.833
Pm1 0.000 0.000 0.256
Pm2 0.000 0.000 0.744
Pm3 0.333 0.667 0.418
Pm4 0.333 0.667 0.910
Pm5 0.667 0.333 0.090
Pm6 0.667 0.333 0.582
Ga1 0.333 0.667 0.665
Ga2 0.667 0.333 0.335
```

## Properties
electronic total energy: -3.668 eV per atom
space-group type: No. 164